No. 1
Ba3Pm3TmTe8 | PBE | relaxed

abc: 15.794 9.122 9.607
angles: 90.00 123.19 90.00
Space group C2/m (No. 12)
Inequivalent atoms, fractional coordinates:
Ba  0.000  0.000  0.000 x2
Ba  0.250  0.250  0.000 x4
Pm  0.000  0.500  0.500 x2
Pm  0.250  0.250  0.500 x4
Tm  0.000  0.000  0.500 x2
Te  0.010  0.246  0.283 x8
Te  0.236  0.000  0.717 x4
Te  0.241  0.500  0.723 x4

=====

No. 2
Ba3PmTm3Te8 | PBE | relaxed

abc: 8.9630 8.9630 23.8318
angles: 90.00 90.00 120.00
Space group R-3m (No. 166, hexagonal axes)
Inequivalent atoms, fractional coordinates:
Ba  0.0000  0.5000  0.0000 x9
Pm  0.0000  0.0000  0.5000 x3
Tm  0.0000  0.5000  0.5000 x9
Te  0.0000  0.0000  0.2373 x6
Te  0.0139  0.5069  0.7607 x18

=====

No. 3
Ba3Pm3YTe8 | PBE | relaxed

abc: 15.817 9.136 9.607
angles: 90.00 123.25 90.00
Space group C2/m (No. 12)
Inequivalent atoms, fractional coordinates:
Ba  0.000  0.000  0.000 x2
Ba  0.250  0.250  0.000 x4
Pm  0.000  0.500  0.500 x2
Pm  0.250  0.250  0.500 x4
Y  0.000  0.000  0.500 x2
Te  0.010  0.248  0.281 x8
Te  0.238  0.000  0.719 x4
Te  0.241  0.500  0.723 x4

=====

no.,formation energy from raw total energies (eV/atom),theoretical density (g cm⁻³)
1,-1.55,5.8
2,-1.51,6.3
3,-1.57,5.6